No. 1
Density functional theory data (PBE) for a relaxed structure of VCu4Se5.

Geometry as CIF:
```
data_VCu4Se5
_cell_length_a 6.348
_cell_length_b 6.348
_cell_length_c 6.348
_cell_angle_alpha 99.69
_cell_angle_beta 99.69
_cell_angle_gamma 131.55
_symmetry_space_group_name_H-M 'P 1'
_symmetry_Int_Tables_number 1
_symmetry_space_group_name_Hall 'P 1'
loop_
_atom_site_label
_atom_site_type_symbol
_atom_site_fract_x
_atom_site_fract_y
_atom_site_fract_z
V1 V 0.000 0.000 0.000
Cu1 Cu 0.076 0.468 0.821
Cu2 Cu 0.255 0.076 0.607
Cu3 Cu 0.468 0.648 0.393
Cu4 Cu 0.648 0.255 0.179
Se1 Se 0.172 0.806 0.215
Se2 Se 0.451 0.451 0.000
Se3 Se 0.591 0.957 0.785
Se4 Se 0.806 0.591 0.634
Se5 Se 0.957 0.172 0.366
```

Results
Formation energy (no corrections) (eV/atom): -0.160
DFT total energy (eV/cell): -44.527
Fermi-level density of states (states/eV/f.u.): 6.46
Crystal system: tetragonal

=====

No. 2
Density functional theory data (PBE) for a relaxed structure of VCu2Se4.

Geometry as CIF:
```
data_VCu2Se4
_cell_length_a 5.573
_cell_length_b 5.573
_cell_length_c 5.680
_cell_angle_alpha 90.00
_cell_angle_beta 90.00
_cell_angle_gamma 90.00
_symmetry_space_group_name_H-M 'P 1'
_symmetry_Int_Tables_number 1
_symmetry_space_group_name_Hall 'P 1'
loop_
_atom_site_label
_atom_site_type_symbol
_atom_site_fract_x
_atom_site_fract_y
_atom_site_fract_z
V1 V 0.000 0.000 0.000
Cu1 Cu 0.000 0.500 0.000
Cu2 Cu 0.500 0.000 0.000
Se1 Se 0.235 0.235 0.245
Se2 Se 0.235 0.765 0.755
Se3 Se 0.765 0.235 0.755
Se4 Se 0.765 0.765 0.245
```

Results
Formation energy (no corrections) (eV/atom): -0.413
DFT total energy (eV/cell): -34.141
Fermi-level density of states (states/eV/f.u.): 5.28
Polymorph energy (0 for the lowest one) (kcal/mol of atoms): 0.00
Crystal system: tetragonal

=====

No. 3
Density functional theory data (PBE) for a relaxed structure of VCuSe.

Geometry as CIF:
```
data_VCuSe
_cell_length_a 3.870
_cell_length_b 3.870
_cell_length_c 6.071
_cell_angle_alpha 90.00
_cell_angle_beta 90.00
_cell_angle_gamma 90.00
_symmetry_space_group_name_H-M 'P 1'
_symmetry_Int_Tables_number 1
_symmetry_space_group_name_Hall 'P 1'
loop_
_atom_site_label
_atom_site_type_symbol
_atom_site_fract_x
_atom_site_fract_y
_atom_site_fract_z
V1 V 0.250 0.750 0.000
V2 V 0.750 0.250 0.000
Cu1 Cu 0.250 0.250 0.305
Cu2 Cu 0.750 0.750 0.695
Se1 Se 0.250 0.250 0.720
Se2 Se 0.750 0.750 0.280
```

Results
Formation energy (no corrections) (eV/atom): -0.191
DFT total energy (eV/cell): -34.547
Fermi-level density of states (states/eV/f.u.): 2.16
Polymorph energy (0 for the lowest one) (kcal/mol of atoms): 0.67
Crystal system: tetragonal

=====

No. 4
Density functional theory data (PBE) for a relaxed structure of VCu2Se.

Geometry as CIF:
```
data_VCu2Se
_cell_length_a 5.567
_cell_length_b 5.567
_cell_length_c 5.567
_cell_angle_alpha 100.81
_cell_angle_beta 100.81
_cell_angle_gamma 128.67
_symmetry_space_group_name_H-M 'P 1'
_symmetry_Int_Tables_number 1
_symmetry_space_group_name_Hall 'P 1'
loop_
_atom_site_label
_atom_site_type_symbol
_atom_site_fract_x
_atom_site_fract_y
_atom_site_fract_z
V1 V 0.000 0.000 0.000
V2 V 0.750 0.250 0.500
Cu1 Cu 0.145 0.125 0.520
Cu2 Cu 0.375 0.855 0.980
Cu3 Cu 0.605 0.625 0.480
Cu4 Cu 0.875 0.395 0.020
Se1 Se 0.250 0.750 0.500
Se2 Se 0.500 0.500 0.000
```

Results
Formation energy (no corrections) (eV/atom): 0.238
DFT total energy (eV/cell): -39.688
Fermi-level density of states (states/eV/f.u.): 2.48
Crystal system: tetragonal

=====

No. 5
Density functional theory data (PBE) for a relaxed structure of VCu3Se4.

Geometry as CIF:
```
data_VCu3Se4
_cell_length_a 5.635
_cell_length_b 5.635
_cell_length_c 5.635
_cell_angle_alpha 90.00
_cell_angle_beta 90.00
_cell_angle_gamma 90.00
_symmetry_space_group_name_H-M 'P 1'
_symmetry_Int_Tables_number 1
_symmetry_space_group_name_Hall 'P 1'
loop_
_atom_site_label
_atom_site_type_symbol
_atom_site_fract_x
_atom_site_fract_y
_atom_site_fract_z
V1 V 0.000 0.000 0.000
Cu1 Cu 0.000 0.000 0.500
Cu2 Cu 0.000 0.500 0.000
Cu3 Cu 0.500 0.000 0.000
Se1 Se 0.243 0.243 0.243
Se2 Se 0.243 0.757 0.757
Se3 Se 0.757 0.243 0.757
Se4 Se 0.757 0.757 0.243
```

Results
Formation energy (no corrections) (eV/atom): -0.493
DFT total energy (eV/cell): -39.288
Polymorph energy (0 for the lowest one) (kcal/mol of atoms): 0.00
Crystal system: cubic

=====

No. 6
Density functional theory data (PBE) for a relaxed structure of VCu3Se6.

Geometry as CIF:
```
data_VCu3Se6
_cell_length_a 6.143
_cell_length_b 6.112
_cell_length_c 12.300
_cell_angle_alpha 90.00
_cell_angle_beta 118.52
_cell_angle_gamma 90.00
_symmetry_space_group_name_H-M 'P 1'
_symmetry_Int_Tables_number 1
_symmetry_space_group_name_Hall 'P 1'
loop_
_atom_site_label
_atom_site_type_symbol
_atom_site_fract_x
_atom_site_fract_y
_atom_site_fract_z
V1 V 0.000 0.000 0.000
V2 V 0.000 0.500 0.500
Cu1 Cu 0.306 0.018 0.752
Cu2 Cu 0.306 0.482 0.252
Cu3 Cu 0.500 0.000 0.500
Cu4 Cu 0.500 0.500 0.000
Cu5 Cu 0.694 0.518 0.748
Cu6 Cu 0.694 0.982 0.248
Se1 Se 0.048 0.117 0.433
Se2 Se 0.048 0.383 0.933
Se3 Se 0.292 0.093 0.216
Se4 Se 0.292 0.407 0.716
Se5 Se 0.326 0.624 0.441
Se6 Se 0.326 0.876 0.941
Se7 Se 0.674 0.124 0.059
Se8 Se 0.674 0.376 0.559
Se9 Se 0.708 0.593 0.284
Se10 Se 0.708 0.907 0.784
Se11 Se 0.952 0.617 0.067
Se12 Se 0.952 0.883 0.567
```

Results
Formation energy (no corrections) (eV/atom): -0.204
DFT total energy (eV/cell): -88.714
Fermi-level density of states (states/eV/f.u.): 6.19
Crystal system: monoclinic

=====

No. 7
Density functional theory data (PBE) for a relaxed structure of V4CuSe8.

Geometry as CIF:
```
data_V4CuSe8
_cell_length_a 7.205
_cell_length_b 7.205
_cell_length_c 7.205
_cell_angle_alpha 60.00
_cell_angle_beta 60.00
_cell_angle_gamma 60.00
_symmetry_space_group_name_H-M 'P 1'
_symmetry_Int_Tables_number 1
_symmetry_space_group_name_Hall 'P 1'
loop_
_atom_site_label
_atom_site_type_symbol
_atom_site_fract_x
_atom_site_fract_y
_atom_site_fract_z
V1 V 0.110 0.110 0.110
V2 V 0.110 0.110 0.670
V3 V 0.110 0.670 0.110
V4 V 0.670 0.110 0.110
Cu1 Cu 0.500 0.500 0.500
Se1 Se 0.365 0.365 0.365
Se2 Se 0.365 0.365 0.906
Se3 Se 0.365 0.906 0.365
Se4 Se 0.390 0.870 0.870
Se5 Se 0.870 0.390 0.870
Se6 Se 0.870 0.870 0.390
Se7 Se 0.870 0.870 0.870
Se8 Se 0.906 0.365 0.365
```

Results
Formation energy (no corrections) (eV/atom): -0.644
DFT total energy (eV/cell): -76.813
Fermi-level density of states (states/eV/f.u.): 8.65
Crystal system: cubic

=====

No. 8
Density functional theory data (PBE) for a relaxed structure of VCuSe3.

Geometry as CIF:
```
data_VCuSe3
_cell_length_a 6.361
_cell_length_b 3.452
_cell_length_c 10.020
_cell_angle_alpha 90.00
_cell_angle_beta 92.35
_cell_angle_gamma 90.00
_symmetry_space_group_name_H-M 'P 1'
_symmetry_Int_Tables_number 1
_symmetry_space_group_name_Hall 'P 1'
loop_
_atom_site_label
_atom_site_type_symbol
_atom_site_fract_x
_atom_site_fract_y
_atom_site_fract_z
V1 V 0.227 0.250 0.043
V2 V 0.773 0.750 0.957
Cu1 Cu 0.060 0.250 0.598
Cu2 Cu 0.940 0.750 0.402
Se1 Se 0.007 0.750 0.159
Se2 Se 0.281 0.750 0.522
Se3 Se 0.483 0.750 0.130
Se4 Se 0.517 0.250 0.870
Se5 Se 0.719 0.250 0.478
Se6 Se 0.993 0.250 0.841
```

Results
Formation energy (no corrections) (eV/atom): -0.330
DFT total energy (eV/cell): -50.639
Fermi-level density of states (states/eV/f.u.): 3.00
Polymorph energy (0 for the lowest one) (kcal/mol of atoms): 0.00
Crystal system: monoclinic

=====

No. 9
Density functional theory data (PBE) for a relaxed structure of VCuSe3.

Geometry as CIF:
```
data_VCuSe3
_cell_length_a 4.813
_cell_length_b 4.813
_cell_length_c 4.813
_cell_angle_alpha 90.00
_cell_angle_beta 90.00
_cell_angle_gamma 90.00
_symmetry_space_group_name_H-M 'P 1'
_symmetry_Int_Tables_number 1
_symmetry_space_group_name_Hall 'P 1'
loop_
_atom_site_label
_atom_site_type_symbol
_atom_site_fract_x
_atom_site_fract_y
_atom_site_fract_z
V1 V 0.000 0.000 0.000
Cu1 Cu 0.500 0.500 0.500
Se1 Se 0.000 0.000 0.500
Se2 Se 0.000 0.500 0.000
Se3 Se 0.500 0.000 0.000
```

Results
Formation energy (no corrections) (eV/atom): 0.271
DFT total energy (eV/cell): -22.315
Fermi-level density of states (states/eV/f.u.): 5.62
Polymorph energy (0 for the lowest one) (kcal/mol of atoms): 13.86
Crystal system: cubic

=====

No. 10
Density functional theory data (PBE) for a relaxed structure of V3CuSe6.

Geometry as CIF:
```
data_V3CuSe6
_cell_length_a 7.964
_cell_length_b 7.964
_cell_length_c 6.159
_cell_angle_alpha 90.00
_cell_angle_beta 90.00
_cell_angle_gamma 100.44
_symmetry_space_group_name_H-M 'P 1'
_symmetry_Int_Tables_number 1
_symmetry_space_group_name_Hall 'P 1'
loop_
_atom_site_label
_atom_site_type_symbol
_atom_site_fract_x
_atom_site_fract_y
_atom_site_fract_z
V1 V 0.107 0.893 0.500
V2 V 0.223 0.422 0.603
V3 V 0.422 0.223 0.103
V4 V 0.578 0.777 0.603
V5 V 0.777 0.578 0.103
V6 V 0.893 0.107 0.000
Cu1 Cu 0.271 0.729 0.141
Cu2 Cu 0.729 0.271 0.641
Se1 Se 0.037 0.596 0.353
Se2 Se 0.131 0.188 0.301
Se3 Se 0.188 0.131 0.801
Se4 Se 0.276 0.724 0.755
Se5 Se 0.404 0.963 0.353
Se6 Se 0.461 0.539 0.266
Se7 Se 0.539 0.461 0.766
Se8 Se 0.596 0.037 0.853
Se9 Se 0.724 0.276 0.255
Se10 Se 0.812 0.869 0.301
Se11 Se 0.869 0.812 0.801
Se12 Se 0.963 0.404 0.853
```

Results
Formation energy (no corrections) (eV/atom): -0.441
DFT total energy (eV/cell): -113.538
Fermi-level density of states (states/eV/f.u.): 4.93
Crystal system: orthorhombic

=====

No. 11
Density functional theory data (PBE) for a relaxed structure of VCuWSe2.

Geometry as CIF:
```
data_VCuWSe2
_cell_length_a 4.625
_cell_length_b 4.625
_cell_length_c 4.776
_cell_angle_alpha 90.00
_cell_angle_beta 90.00
_cell_angle_gamma 90.00
_symmetry_space_group_name_H-M 'P 1'
_symmetry_Int_Tables_number 1
_symmetry_space_group_name_Hall 'P 1'
loop_
_atom_site_label
_atom_site_type_symbol
_atom_site_fract_x
_atom_site_fract_y
_atom_site_fract_z
V1 V 0.000 0.000 0.000
Cu1 Cu 0.500 0.500 0.500
W1 W 0.000 0.000 0.500
Se1 Se 0.000 0.500 0.000
Se2 Se 0.500 0.000 0.000
```

Results
Formation energy (no corrections) (eV/atom): 1.117
DFT total energy (eV/cell): -27.551
Fermi-level density of states (states/eV/f.u.): 5.48
Crystal system: tetragonal

=====

No. 12
Density functional theory data (PBE) for a relaxed structure of VZnCu3Se4.

Geometry as CIF:
```
data_VZnCu3Se4
_cell_length_a 5.718
_cell_length_b 5.718
_cell_length_c 5.718
_cell_angle_alpha 90.00
_cell_angle_beta 90.00
_cell_angle_gamma 90.00
_symmetry_space_group_name_H-M 'P 1'
_symmetry_Int_Tables_number 1
_symmetry_space_group_name_Hall 'P 1'
loop_
_atom_site_label
_atom_site_type_symbol
_atom_site_fract_x
_atom_site_fract_y
_atom_site_fract_z
V1 V 0.000 0.000 0.000
Zn1 Zn 0.500 0.500 0.500
Cu1 Cu 0.000 0.000 0.500
Cu2 Cu 0.000 0.500 0.000
Cu3 Cu 0.500 0.000 0.000
Se1 Se 0.246 0.246 0.246
Se2 Se 0.246 0.754 0.754
Se3 Se 0.754 0.246 0.754
Se4 Se 0.754 0.754 0.246
```

Results
Formation energy (no corrections) (eV/atom): -0.299
DFT total energy (eV/cell): -39.310
Fermi-level density of states (states/eV/f.u.): 5.13
Crystal system: cubic